(1)
Entry from Alexandria via LeMat-Bulk: a relaxed structure of GdYMgPt (PBE).

Results
E_tot	-122.069	eV per cell
formation energy	-0.584	eV/atom

a = 7.2350 Å, b = 7.2350 Å, c = 7.2350 Å
α = 90.00°, β = 90.00°, γ = 90.00°
Space group F-43m (No. 216)
One atom of each set of equivalent atoms:
Gd: 0.0000 0.0000 0.0000 x4
Y: 0.0000 0.0000 0.5000 x4
Mg: 0.2500 0.2500 0.2500 x4
Pt: 0.2500 0.2500 0.7500 x4

(2)
Entry from Alexandria via LeMat-Bulk: a relaxed structure of In2SbW (PBE).

Results
formation energy (no corrections)	3.16	eV/f.u.
E_tot	-19.392	eV per cell

a = 4.9338 Å, b = 4.9338 Å, c = 3.5705 Å
α = 90.00°, β = 90.00°, γ = 90.00°
Space group P4/mmm (No. 123)
One atom of each set of equivalent atoms:
In: 0.0000 0.5000 0.0000 x2
Sb: 0.0000 0.0000 0.5000 x1
W: 0.5000 0.5000 0.5000 x1